{"formula": "Li6AgAu2", "functional": "PBE-GGA", "state": "optimized geometry", "cell": [[6.8847, -3.1249, 0.0000], [6.8847, 3.1249, 0.0000], [-1.3561, 0.0000, 4.1356]], "species": ["Li", "Li", "Li", "Li", "Li", "Li", "Ag", "Au", "Au"], "frac_coords": [[0.0763, 0.5840, 0.3288], [0.2406, 0.7594, 0.0000], [0.4160, 0.9237, 0.6712], [0.5840, 0.0763, 0.3288], [0.7594, 0.2406, 0.0000], [0.9237, 0.4160, 0.6712], [0.5000, 0.5000, 0.5000], [0.1668, 0.1668, 0.1684], [0.8332, 0.8332, 0.8316]], "formation_energy_ev_per_atom": -0.220, "magmom_total_mub_per_cell": 0.00, "e_tot_ev_per_cell": -22.87, "polymorph_energy_ev_per_fu": 1.24}

=====

{"formula": "Mn2I3Cl", "functional": "PBE-GGA", "state": "optimized geometry", "cell": [[9.5160, -2.0334, 0.0000], [9.5160, 2.0334, 0.0000], [-8.1690, 0.0000, 11.1542]], "species": ["Mn", "Mn", "Mn", "Mn", "I", "I", "I", "I", "I", "I", "Cl", "Cl"], "frac_coords": [[0.2379, 0.2379, 0.1173], [0.2604, 0.2604, 0.6373], [0.7396, 0.7396, 0.3627], [0.7621, 0.7621, 0.8827], [0.1241, 0.1241, 0.1910], [0.3554, 0.3554, 0.5310], [0.3646, 0.3646, 0.0671], [0.6354, 0.6354, 0.9329], [0.6446, 0.6446, 0.4690], [0.8759, 0.8759, 0.8090], [0.1836, 0.1836, 0.7384], [0.8164, 0.8164, 0.2616]], "magmom_total_mub_per_cell": 20.00, "formation_energy_uncorrected_mev_per_atom": -585, "e_tot_ev_per_cell": -56.70}